Here is crystalline TbEr3Sc at its relaxed geometry from the Alexandria database. Energies are from PBE.

Values from the calculation:
Space-group type ... No. 2
E_form ... 15 meV/atom
Electronic total energy ... -4.915 eV/atom

Lattice parameters (Å, degrees): 6.120 6.549 8.975 107.67 90.02 117.84
Fractional coordinates of all 10 atoms:
Tb 0.031 0.403 0.153
Tb 0.969 0.597 0.847
Er 0.167 0.006 0.253
Er 0.234 0.801 0.548
Er 0.434 0.203 0.947
Er 0.566 0.797 0.053
Er 0.766 0.199 0.452
Er 0.833 0.994 0.747
Sc 0.369 0.402 0.646
Sc 0.631 0.598 0.354